Entry from Alexandria via LeMat-Bulk: a relaxed YMo2Ir crystal (PBE).

It has space group R3m (No. 160, hexagonal axes), with a = 3.1024 Å, b = 3.1024 Å, c = 26.4470 Å, α = 90.00°, β = 90.00° and γ = 120.00°. The distinct sites, in fractional coordinates, are Y at (0.0000, 0.0000, 0.0000), Mo at (0.0000, 0.0000, 0.2386), Mo at (0.0000, 0.0000, 0.5016) and Ir at (0.0000, 0.0000, 0.7568).

Its energy above the most stable polymorph in this dataset is 30.0 kJ/mol of atoms. As for the energy relative to the elements: 0.301 eV per atom.



Entry from Alexandria via LeMat-Bulk: a relaxed YMoIr2 crystal (PBE).

It has space group C2/m (No. 12), with a = 9.310 Å, b = 2.880 Å, c = 5.428 Å, α = 90.00°, β = 99.49° and γ = 90.00°. The distinct sites, in fractional coordinates, are Y at (0.000, 0.000, 0.000), Mo at (0.000, 0.500, 0.500) and Ir at (0.246, 0.000, 0.700).

Its energy above the most stable polymorph in this dataset is 36.8 kJ/mol of atoms. As for the energy relative to the elements: 0.044 eV per atom.



Entry from Alexandria via LeMat-Bulk: a relaxed YMoIr2 crystal (PBE).

It has space group R3m (No. 160, hexagonal axes), with a = 2.8898 Å, b = 2.8898 Å, c = 28.8310 Å, α = 90.00°, β = 90.00° and γ = 120.00°. The distinct sites, in fractional coordinates, are Y at (0.0000, 0.0000, 0.0000), Mo at (0.0000, 0.0000, 0.2362), Ir at (0.0000, 0.0000, 0.4978) and Ir at (0.0000, 0.0000, 0.7512).

Its energy above the most stable polymorph in this dataset is 62.9 kJ/mol of atoms. As for the energy relative to the elements: 0.315 eV per atom.



- Number 3 is which compound?
  YMoIr2